Tb4Al3Hg: relaxed, GGA-PBE.

Cell: 3.6030 3.6030 14.9443 Å, 90.00 90.00 90.00°
Fractional positions:
Tb 0.0000 0.0000 0.3792
Tb 0.0000 0.0000 0.1349
Tb 0.0000 0.0000 0.6208
Tb 0.0000 0.0000 0.8650
Al 0.5000 0.5000 0.5000
Al 0.5000 0.5000 0.2561
Al 0.5000 0.5000 0.7439
Hg 0.5000 0.5000 0.0000

Calculated values
* crystal system: tetragonal
* symmetry: P4/mmm, No. 123
* formation energy: -0.42 eV per atom
* polymorph energy (0 for the lowest one): 0.00 eV per formula unit